The following is a DFT calculation (meta-GGA SCAN) of Pm2MgSn at its PBEsol-relaxed geometry.

Crystal system = cubic
Volume = 26.8 Å³/atom
Total magnetization = 0.1 Bohr magnetons per cell
VASP energy = -32.72 eV per atom
Mass density = 6.7 g/cm³

Cell lengths 5.3327, 5.3327, 5.3327 Å; angles 60.00, 60.00, 60.00 degrees
Last column: nearest neighbours and their distance in Å.
Fractional coordinates of all 4 atoms:
Pm (0.2500, 0.2500, 0.2500)  4 Sn 3.27, 4 Mg 3.27
Pm (0.7500, 0.7500, 0.7500)  4 Sn 3.27, 4 Mg 3.27
Mg (0.0000, 0.0000, 0.0000)  8 Pm 3.27
Sn (0.5000, 0.5000, 0.5000)  8 Pm 3.27

The following is a DFT calculation (meta-GGA SCAN) of Pm2MgTl at its PBEsol-relaxed geometry.

Crystal system = cubic
Volume = 27.6 Å³/atom
Total magnetization = 0.6 Bohr magnetons per cell
VASP energy = -41.72 eV per atom
Mass density = 7.8 g/cm³

Cell lengths 5.3819, 5.3819, 5.3819 Å; angles 60.00, 60.00, 60.00 degrees
Last column: nearest neighbours and their distance in Å.
Fractional coordinates of all 4 atoms:
Pm (0.7500, 0.7500, 0.7500)  4 Mg 3.30, 4 Tl 3.30
Pm (0.2500, 0.2500, 0.2500)  4 Tl 3.30, 4 Mg 3.30
Tl (0.0000, 0.0000, 0.0000)  8 Pm 3.30
Mg (0.5000, 0.5000, 0.5000)  8 Pm 3.30

The following is a DFT calculation (meta-GGA SCAN) of PmMgTl2 at its PBEsol-relaxed geometry.

Crystal system = cubic
Volume = 25.5 Å³/atom
Total magnetization = 0.0 Bohr magnetons per cell
VASP energy = -48.85 eV per atom
Mass density = 9.4 g/cm³

Cell lengths 5.2476, 5.2476, 5.2476 Å; angles 60.00, 60.00, 60.00 degrees
Last column: nearest neighbours and their distance in Å.
Fractional coordinates of all 4 atoms:
Pm (0.0000, 0.0000, 0.0000)  8 Tl 3.21
Tl (0.7500, 0.7500, 0.7500)  4 Mg 3.21, 4 Pm 3.21
Tl (0.2500, 0.2500, 0.2500)  4 Mg 3.21, 4 Pm 3.21
Mg (0.5000, 0.5000, 0.5000)  8 Tl 3.21

The following is a DFT calculation (meta-GGA SCAN) of PmYMg2 at its PBEsol-relaxed geometry.

Crystal system = cubic
Volume = 27.0 Å³/atom
Total magnetization = 0.0 Bohr magnetons per cell
VASP energy = -20.56 eV per atom
Mass density = 4.3 g/cm³

Cell lengths 5.3470, 5.3470, 5.3470 Å; angles 60.00, 60.00, 60.00 degrees
Last column: nearest neighbours and their distance in Å.
Fractional coordinates of all 4 atoms:
Pm (0.5000, 0.5000, 0.5000)  8 Mg 3.27
Mg (0.7500, 0.7500, 0.7500)  4 Pm 3.27, 4 Y 3.27
Mg (0.2500, 0.2500, 0.2500)  4 Pm 3.27, 4 Y 3.27
Y (0.0000, 0.0000, 0.0000)  8 Mg 3.27

> mass density of number 4 (PmYMg2)?

4.3 g/cm³

> The highest total magnetization belongs to which entry?

Pm2MgTl